The following is a DFT calculation (PBE-GGA) of a relaxed NbPdS crystal.

Properties
E_form (uncorrected) (meV/atom): -553
SG: Pmn2_1 (31)
Total magnetization (μB/atom): 0.000
Calculated volume (Å³/cell): 99
Energy above the most stable polymorph in this dataset (meV per atom): 10

Cell lengths 3.1395, 6.6660, 4.7110 Å; angles 90.00, 90.00, 90.00 degrees
Fractional coordinates of all 6 atoms:
Nb  0.0000  0.1054  0.0000
Nb  0.5000  0.8946  0.5000
Pd  0.0000  0.5302  0.6060
Pd  0.5000  0.4698  0.1060
S  0.0000  0.1880  0.4964
S  0.5000  0.8120  0.9964